Record 1
{
  "formula": "CeTiGe3",
  "functional": "PBE",
  "state": "optimized geometry",
  "cell": [[-3.403, 1.414, -1.301], [-0.990, -4.267, -2.046], [-2.646, -1.779, 4.989]],
  "species": ["Ce", "Ti", "Ge", "Ge", "Ge"],
  "fractional_positions": [[0.000, 0.500, 0.500], [0.000, 0.000, 0.000], [0.500, 0.000, 0.294], [0.500, 0.000, 0.706], [0.000, 0.500, 0.000]],
  "energy_ev_per_atom": -5.88,
  "total_magnetization_mub_per_fu": 0.68,
  "dos_at_fermi_per_ev_fu": 6.70,
  "vol_a3_per_cell": 111.9
}

***

Record 2
{
  "formula": "Ce2TiGe",
  "functional": "PBE",
  "state": "optimized geometry",
  "cell": [[4.670, 0.000, 0.000], [0.000, 4.246, 0.000], [0.000, 0.000, 4.246]],
  "species": ["Ge", "Ce", "Ce", "Ti"],
  "fractional_positions": [[0.500, 0.000, 0.000], [0.000, 0.000, 0.500], [0.000, 0.500, 0.000], [0.500, 0.500, 0.500]],
  "energy_ev_per_atom": -6.43,
  "de_polymorph_mev_per_atom": 0.0,
  "total_magnetization_mub_per_fu": 0.00,
  "dos_at_fermi_per_ev_fu": 7.49,
  "vol_a3_per_cell": 84.2
}

***

Record 3
{
  "formula": "Ce2TiGe",
  "functional": "PBE",
  "state": "optimized geometry",
  "cell": [[-0.601, -1.477, 2.598], [-1.201, -2.801, -0.082], [9.282, -5.661, 0.718]],
  "species": ["Ge", "Ce", "Ce", "Ti"],
  "fractional_positions": [[0.500, 0.500, 0.500], [0.086, 0.086, 0.743], [0.914, 0.914, 0.257], [0.000, 0.000, 0.000]],
  "energy_ev_per_atom": -6.04,
  "de_polymorph_mev_per_atom": 391.1,
  "total_magnetization_mub_per_fu": 0.89,
  "dos_at_fermi_per_ev_fu": 6.69,
  "vol_a3_per_cell": 86.5
}

***

Record 4
{
  "formula": "CeTlGe2",
  "functional": "PBE",
  "state": "optimized geometry",
  "cell": [[4.215, 0.000, 0.000], [0.000, 4.646, 0.000], [0.000, 0.000, 4.646]],
  "species": ["Tl", "Ge", "Ge", "Ce"],
  "fractional_positions": [[0.500, 0.000, 0.000], [0.000, 0.000, 0.500], [0.000, 0.500, 0.000], [0.500, 0.500, 0.500]],
  "energy_ev_per_atom": -4.76,
  "total_magnetization_mub_per_fu": 0.00,
  "dos_at_fermi_per_ev_fu": 4.84,
  "vol_a3_per_cell": 91.0
}

***

Record 5
{
  "formula": "CeTl2Ge",
  "functional": "PBE",
  "state": "optimized geometry",
  "cell": [[5.022, 0.000, 0.000], [0.000, 4.503, 0.000], [0.000, 0.000, 4.503]],
  "species": ["Tl", "Tl", "Ge", "Ce"],
  "fractional_positions": [[0.000, 0.000, 0.500], [0.000, 0.500, 0.000], [0.500, 0.500, 0.500], [0.500, 0.000, 0.000]],
  "energy_ev_per_atom": -4.11,
  "de_polymorph_mev_per_atom": 0.0,
  "total_magnetization_mub_per_fu": 0.78,
  "dos_at_fermi_per_ev_fu": 6.24,
  "vol_a3_per_cell": 101.8
}

***

Record 6
{
  "formula": "Ce5Tl2Ge2",
  "functional": "PBE",
  "state": "optimized geometry",
  "cell": [[7.363, 0.000, 2.673], [0.000, 7.931, 0.000], [0.919, 0.000, 8.945]],
  "species": ["Ce", "Ce", "Ce", "Ce", "Ce", "Ce", "Ce", "Ce", "Ce", "Ce", "Tl", "Tl", "Tl", "Tl", "Ge", "Ge", "Ge", "Ge"],
  "fractional_positions": [[0.000, 0.000, 0.000], [0.500, 0.500, 0.000], [0.435, 0.180, 0.750], [0.815, 0.820, 0.750], [0.315, 0.680, 0.750], [0.935, 0.320, 0.750], [0.565, 0.820, 0.250], [0.185, 0.180, 0.250], [0.685, 0.320, 0.250], [0.065, 0.680, 0.250], [0.223, 0.000, 0.555], [0.723, 0.500, 0.555], [0.777, 0.000, 0.445], [0.277, 0.500, 0.445], [0.116, 0.380, 0.000], [0.884, 0.620, 0.000], [0.384, 0.880, 0.000], [0.616, 0.120, 0.000]],
  "energy_ev_per_atom": -5.28,
  "total_magnetization_mub_per_fu": 4.90,
  "dos_at_fermi_per_ev_fu": 25.32,
  "vol_a3_per_cell": 502.9
}

***

Record 7
{
  "formula": "Ce6TlGe2",
  "functional": "PBE",
  "state": "optimized geometry",
  "cell": [[-2.482, -1.592, 0.883], [-0.532, -3.670, -8.116], [4.814, -3.964, 6.382]],
  "species": ["Ce", "Ce", "Ce", "Ce", "Ce", "Ce", "Tl", "Ge", "Ge"],
  "fractional_positions": [[0.500, 0.348, 0.348], [0.500, 0.652, 0.652], [0.500, 0.000, 0.652], [0.500, 0.652, 0.000], [0.500, 0.348, 0.000], [0.500, 0.000, 0.348], [0.000, 0.000, 0.000], [0.000, 0.333, 0.667], [0.000, 0.667, 0.333]],
  "energy_ev_per_atom": -5.49,
  "de_polymorph_mev_per_atom": 0.0,
  "total_magnetization_mub_per_fu": 3.15,
  "dos_at_fermi_per_ev_fu": 22.37,
  "vol_a3_per_cell": 212.2
}

***

Record 8
{
  "formula": "CeTl2Ge",
  "functional": "PBE",
  "state": "optimized geometry",
  "cell": [[-1.991, 2.582, 1.021], [-3.147, 0.343, -1.287], [-5.808, -5.465, 8.208]],
  "species": ["Tl", "Tl", "Ge", "Ce"],
  "fractional_positions": [[0.096, 0.096, 0.713], [0.904, 0.904, 0.287], [0.500, 0.500, 0.500], [0.000, 0.000, 0.000]],
  "energy_ev_per_atom": -3.57,
  "de_polymorph_mev_per_atom": 540.0,
  "total_magnetization_mub_per_fu": 1.29,
  "dos_at_fermi_per_ev_fu": 5.87,
  "vol_a3_per_cell": 114.0
}

***

Record 9
{
  "formula": "Ce4Tl3Ge",
  "functional": "PBE",
  "state": "optimized geometry",
  "cell": [[3.453, 0.000, 0.000], [0.000, 3.453, 0.000], [0.000, 0.000, 18.181]],
  "species": ["Tl", "Tl", "Tl", "Ge", "Ce", "Ce", "Ce", "Ce"],
  "fractional_positions": [[0.500, 0.500, 0.240], [0.500, 0.500, 0.500], [0.500, 0.500, 0.760], [0.500, 0.500, 0.000], [0.000, 0.000, 0.893], [0.000, 0.000, 0.107], [0.000, 0.000, 0.370], [0.000, 0.000, 0.630]],
  "energy_ev_per_atom": -4.78,
  "de_polymorph_mev_per_atom": 0.0,
  "total_magnetization_mub_per_fu": 4.69,
  "dos_at_fermi_per_ev_fu": 23.26,
  "vol_a3_per_cell": 216.8
}

***

Record 10
{
  "formula": "CeTlGe4",
  "functional": "PBE",
  "state": "optimized geometry",
  "cell": [[-4.853, -2.971, -0.347], [-0.616, -4.813, 2.992], [-3.570, -0.158, 4.442]],
  "species": ["Tl", "Ge", "Ge", "Ge", "Ge", "Ce"],
  "fractional_positions": [[0.000, 0.000, 0.000], [0.625, 0.625, 0.126], [0.625, 0.126, 0.625], [0.625, 0.625, 0.625], [0.126, 0.625, 0.625], [0.250, 0.250, 0.250]],
  "energy_ev_per_atom": -4.61,
  "total_magnetization_mub_per_fu": 1.05,
  "dos_at_fermi_per_ev_fu": 7.74,
  "vol_a3_per_cell": 131.0
}

***

Record 11
{
  "formula": "Ce4Tl3Ge",
  "functional": "PBE",
  "state": "optimized geometry",
  "cell": [[5.453, 0.000, 0.000], [0.000, 4.163, -0.002], [-2.727, -2.075, 9.183]],
  "species": ["Ce", "Ce", "Ce", "Ce", "Tl", "Tl", "Tl", "Ge"],
  "fractional_positions": [[0.117, 0.617, 0.234], [0.883, 0.383, 0.766], [0.774, 0.773, 0.547], [0.226, 0.227, 0.453], [0.367, 0.867, 0.734], [0.633, 0.133, 0.266], [0.500, 0.500, 0.000], [0.000, 0.000, 0.000]],
  "energy_ev_per_atom": -4.62,
  "de_polymorph_mev_per_atom": 150.9,
  "total_magnetization_mub_per_fu": 0.00,
  "dos_at_fermi_per_ev_fu": 15.00,
  "vol_a3_per_cell": 208.4
}

***

Record 12
{
  "formula": "Ce12TlGe6",
  "functional": "PBE",
  "state": "optimized geometry",
  "cell": [[8.469, -0.988, -1.184], [-2.261, 8.221, -1.184], [-2.261, -2.634, 7.878]],
  "species": ["Ce", "Ce", "Ce", "Ce", "Ce", "Ce", "Ce", "Ce", "Ce", "Ce", "Ce", "Ce", "Tl", "Ge", "Ge", "Ge", "Ge", "Ge", "Ge"],
  "fractional_positions": [[0.817, 0.662, 0.506], [0.506, 0.817, 0.662], [0.662, 0.506, 0.817], [0.183, 0.338, 0.494], [0.494, 0.183, 0.338], [0.338, 0.494, 0.183], [0.882, 0.792, 0.263], [0.208, 0.737, 0.118], [0.737, 0.118, 0.208], [0.118, 0.208, 0.737], [0.792, 0.263, 0.882], [0.263, 0.882, 0.792], [0.000, 0.000, 0.000], [0.665, 0.932, 0.439], [0.561, 0.335, 0.068], [0.068, 0.561, 0.335], [0.335, 0.068, 0.561], [0.439, 0.665, 0.932], [0.932, 0.439, 0.665]],
  "energy_ev_per_atom": -5.78,
  "total_magnetization_mub_per_fu": 7.27,
  "dos_at_fermi_per_ev_fu": 48.21,
  "vol_a3_per_cell": 472.8
}

***

Record 13
{
  "formula": "CeTlGe2",
  "functional": "PBE",
  "state": "optimized geometry",
  "cell": [[4.767, 0.000, 0.000], [2.383, 4.128, 0.000], [2.383, 1.376, 7.385]],
  "species": ["Tl", "Ge", "Ge", "Ce"],
  "fractional_positions": [[0.000, 0.000, 0.000], [0.120, 0.120, 0.639], [0.880, 0.880, 0.361], [0.500, 0.500, 0.500]],
  "energy_ev_per_atom": -4.19,
  "total_magnetization_mub_per_fu": 0.51,
  "dos_at_fermi_per_ev_fu": 5.25,
  "vol_a3_per_cell": 145.3
}

***

Record 14
{
  "formula": "Ce4TlGe",
  "functional": "PBE",
  "state": "optimized geometry",
  "cell": [[-0.098, -4.385, -3.646], [3.858, -3.050, 6.074], [-7.564, 0.739, 1.823]],
  "species": ["Ce", "Ce", "Ce", "Ce", "Ce", "Ce", "Ce", "Ce", "Tl", "Tl", "Ge", "Ge"],
  "fractional_positions": [[0.869, 0.821, 0.611], [0.836, 0.685, 0.071], [0.631, 0.389, 0.179], [0.369, 0.611, 0.821], [0.131, 0.179, 0.389], [0.336, 0.071, 0.685], [0.664, 0.929, 0.315], [0.164, 0.315, 0.929], [0.750, 0.385, 0.615], [0.250, 0.615, 0.385], [0.250, 0.979, 0.021], [0.750, 0.021, 0.979]],
  "energy_ev_per_atom": -5.44,
  "de_polymorph_mev_per_atom": 0.0,
  "total_magnetization_mub_per_fu": 1.05,
  "dos_at_fermi_per_ev_fu": 13.45,
  "vol_a3_per_cell": 307.0
}

***

Record 15
{
  "formula": "Ce6Tl5Ge",
  "functional": "PBE",
  "state": "optimized geometry",
  "cell": [[-1.948, -4.371, -1.256], [6.780, -4.232, 4.208], [-4.918, -2.239, 5.672]],
  "species": ["Tl", "Tl", "Tl", "Tl", "Tl", "Ge", "Ce", "Ce", "Ce", "Ce", "Ce", "Ce"],
  "fractional_positions": [[0.668, 0.500, 0.663], [0.326, 0.000, 0.349], [0.000, 0.500, 0.000], [0.674, 0.000, 0.651], [0.332, 0.500, 0.337], [0.000, 0.000, 0.000], [0.843, 0.758, 0.314], [0.843, 0.242, 0.314], [0.500, 0.233, 0.000], [0.500, 0.767, 0.000], [0.157, 0.758, 0.686], [0.157, 0.242, 0.686]],
  "energy_ev_per_atom": -4.63,
  "total_magnetization_mub_per_fu": 6.94,
  "dos_at_fermi_per_ev_fu": 36.13,
  "vol_a3_per_cell": 332.1
}

***

Record 16
{
  "formula": "Ce6TlGe2",
  "functional": "PBE",
  "state": "optimized geometry",
  "cell": [[3.180, 0.000, 0.000], [1.590, 8.836, 1.481], [1.590, 3.196, 8.369]],
  "species": ["Ce", "Ce", "Ce", "Ce", "Ce", "Ce", "Tl", "Ge", "Ge"],
  "fractional_positions": [[0.664, 0.027, 0.645], [0.336, 0.973, 0.355], [0.336, 0.355, 0.973], [0.500, 0.663, 0.337], [0.500, 0.337, 0.663], [0.664, 0.645, 0.027], [0.000, 0.000, 0.000], [0.843, 0.657, 0.657], [0.157, 0.343, 0.343]],
  "energy_ev_per_atom": -5.46,
  "de_polymorph_mev_per_atom": 26.0,
  "total_magnetization_mub_per_fu": 4.26,
  "dos_at_fermi_per_ev_fu": 24.12,
  "vol_a3_per_cell": 220.1
}

***

Record 17
{
  "formula": "Ce7Tl3Ge",
  "functional": "PBE",
  "state": "optimized geometry",
  "cell": [[5.662, -0.315, -0.403], [-2.814, 7.624, 0.799], [-2.814, -1.073, 7.590]],
  "species": ["Ce", "Ce", "Ce", "Ce", "Ce", "Ce", "Ce", "Tl", "Tl", "Tl", "Ge"],
  "fractional_positions": [[0.211, 0.210, 0.210], [0.289, 0.078, 0.565], [0.711, 0.435, 0.922], [0.289, 0.565, 0.078], [0.000, 0.500, 0.500], [0.711, 0.922, 0.435], [0.789, 0.790, 0.790], [0.000, 0.781, 0.219], [0.500, 0.000, 0.000], [0.000, 0.219, 0.781], [0.500, 0.500, 0.500]],
  "energy_ev_per_atom": -5.01,
  "total_magnetization_mub_per_fu": 5.89,
  "dos_at_fermi_per_ev_fu": 32.80,
  "vol_a3_per_cell": 316.6
}

***

Record 18
{
  "formula": "Ce4TlGe",
  "functional": "PBE",
  "state": "optimized geometry",
  "cell": [[-4.413, 0.469, -2.617], [-0.393, -3.347, -5.006], [-4.851, -2.382, 2.685]],
  "species": ["Ce", "Ce", "Ce", "Ce", "Tl", "Ge"],
  "fractional_positions": [[0.753, 0.580, 0.913], [0.753, 0.913, 0.580], [0.247, 0.420, 0.087], [0.247, 0.087, 0.420], [0.000, 0.000, 0.000], [0.500, 0.500, 0.500]],
  "energy_ev_per_atom": -5.30,
  "de_polymorph_mev_per_atom": 142.1,
  "total_magnetization_mub_per_fu": 2.14,
  "dos_at_fermi_per_ev_fu": 16.42,
  "vol_a3_per_cell": 144.2
}

***

Record 19
{
  "formula": "Ce7TlGe5",
  "functional": "PBE",
  "state": "optimized geometry",
  "cell": [[-1.184, 5.437, -2.439], [-3.915, -0.572, -6.943], [-6.867, 3.096, 2.667]],
  "species": ["Ce", "Ce", "Ce", "Ce", "Ce", "Ce", "Ce", "Tl", "Ge", "Ge", "Ge", "Ge", "Ge"],
  "fractional_positions": [[0.662, 0.338, 0.338], [0.296, 0.704, 0.704], [0.982, 0.339, 0.697], [0.982, 0.697, 0.339], [0.312, 0.188, 0.188], [0.521, 0.813, 0.145], [0.521, 0.145, 0.813], [0.986, 0.014, 0.014], [0.469, 0.013, 0.497], [0.020, 0.013, 0.497], [0.469, 0.497, 0.013], [0.020, 0.497, 0.013], [0.759, 0.741, 0.741]],
  "energy_ev_per_atom": -5.62,
  "total_magnetization_mub_per_fu": 4.99,
  "dos_at_fermi_per_ev_fu": 32.44,
  "vol_a3_per_cell": 331.5
}

***

Record 20
{
  "formula": "CeTm2Ge2",
  "functional": "PBE",
  "state": "optimized geometry",
  "cell": [[-0.985, 3.581, -2.304], [-4.259, -2.719, -2.405], [-3.525, 5.200, 9.589]],
  "species": ["Ce", "Ce", "Tm", "Tm", "Tm", "Tm", "Ge", "Ge", "Ge", "Ge"],
  "fractional_positions": [[0.250, 0.805, 0.217], [0.750, 0.195, 0.783], [0.250, 0.763, 0.872], [0.750, 0.237, 0.128], [0.250, 0.292, 0.547], [0.750, 0.708, 0.453], [0.250, 0.854, 0.627], [0.750, 0.146, 0.373], [0.250, 0.309, 0.976], [0.750, 0.691, 0.024]],
  "energy_ev_per_atom": -5.36,
  "total_magnetization_mub_per_fu": 0.99,
  "dos_at_fermi_per_ev_fu": 7.31,
  "vol_a3_per_cell": 263.1
}

***

Record 21
{
  "formula": "Ce2Tm5Ge4",
  "functional": "PBE",
  "state": "optimized geometry",
  "cell": [[4.591, 0.000, 0.000], [0.000, 6.054, -3.515], [-2.296, -8.443, 14.942]],
  "species": ["Ce", "Ce", "Tm", "Tm", "Tm", "Tm", "Tm", "Ge", "Ge", "Ge", "Ge"],
  "fractional_positions": [[0.421, 0.161, 0.841], [0.579, 0.839, 0.159], [0.200, 0.135, 0.401], [0.800, 0.865, 0.599], [0.835, 0.490, 0.669], [0.500, 0.000, 0.000], [0.165, 0.510, 0.331], [0.666, 0.752, 0.332], [0.992, 0.686, 0.984], [0.334, 0.248, 0.668], [0.008, 0.314, 0.016]],
  "energy_ev_per_atom": -5.32,
  "total_magnetization_mub_per_fu": 1.54,
  "dos_at_fermi_per_ev_fu": 14.02,
  "vol_a3_per_cell": 279.0
}

***

Record 22
{
  "formula": "Ce2Tm3Ge4",
  "functional": "PBE",
  "state": "optimized geometry",
  "cell": [[-1.859, -7.119, 1.949], [-0.781, 1.147, -7.747], [7.375, -2.219, -1.072]],
  "species": ["Ce", "Ce", "Ce", "Ce", "Tm", "Tm", "Tm", "Tm", "Tm", "Tm", "Ge", "Ge", "Ge", "Ge", "Ge", "Ge", "Ge", "Ge"],
  "fractional_positions": [[0.564, 0.194, 0.320], [0.936, 0.806, 0.820], [0.436, 0.806, 0.680], [0.064, 0.194, 0.180], [0.000, 0.500, 0.500], [0.500, 0.500, 0.000], [0.736, 0.242, 0.836], [0.764, 0.758, 0.336], [0.264, 0.758, 0.164], [0.236, 0.242, 0.664], [0.834, 0.087, 0.538], [0.666, 0.913, 0.038], [0.166, 0.913, 0.462], [0.334, 0.087, 0.962], [0.867, 0.493, 0.133], [0.633, 0.507, 0.633], [0.133, 0.507, 0.867], [0.367, 0.493, 0.367]],
  "energy_ev_per_atom": -5.69,
  "total_magnetization_mub_per_fu": 1.40,
  "dos_at_fermi_per_ev_fu": 13.61,
  "vol_a3_per_cell": 433.8
}

***

Record 23
{
  "formula": "Ce3TmGe4",
  "functional": "PBE",
  "state": "optimized geometry",
  "cell": [[-0.158, 4.094, 0.178], [-6.243, -0.172, -1.585], [1.266, -2.370, 8.368]],
  "species": ["Ce", "Ce", "Ce", "Tm", "Ge", "Ge", "Ge", "Ge"],
  "fractional_positions": [[0.000, 0.500, 0.000], [0.195, 0.195, 0.391], [0.805, 0.805, 0.609], [0.500, 0.000, 0.000], [0.370, 0.566, 0.741], [0.630, 0.434, 0.259], [0.630, 0.825, 0.259], [0.370, 0.175, 0.741]],
  "energy_ev_per_atom": -5.72,
  "total_magnetization_mub_per_fu": 1.40,
  "dos_at_fermi_per_ev_fu": 14.36,
  "vol_a3_per_cell": 209.1
}

***

Record 24
{
  "formula": "Ce2TmGe",
  "functional": "PBE",
  "state": "optimized geometry",
  "cell": [[-2.428, 0.183, -4.433], [1.275, -4.061, -0.866], [-3.590, -1.533, 1.904]],
  "species": ["Ge", "Tm", "Ce", "Ce"],
  "fractional_positions": [[0.500, 0.000, 0.000], [0.500, 0.500, 0.500], [0.000, 0.000, 0.500], [0.000, 0.500, 0.000]],
  "energy_ev_per_atom": -5.62,
  "de_polymorph_mev_per_atom": 70.6,
  "total_magnetization_mub_per_fu": 0.13,
  "dos_at_fermi_per_ev_fu": 9.17,
  "vol_a3_per_cell": 95.4
}